A relaxed structure of PmIn2WO8, computed with PBE with a Hubbard U.

abc: 4.9396 4.9396 6.8213
angles: 90.00 90.00 90.34
Last column: nearest neighbours and their distance in Å.
Sites, in units of the cell vectors:
Pm 0.0000 0.0000 0.0000  6 O 2.24-2.38
In 0.5000 0.5000 0.2609  6 O 2.17-2.21
In 0.5000 0.5000 0.7391  6 O 2.17-2.21
W 0.0000 0.0000 0.5000  6 O 1.94-1.99
O 0.1880 0.8120 0.2910  1 W 1.94
O 0.1880 0.8120 0.7090  1 W 1.94
O 0.2854 0.2854 0.5000  1 W 1.99, 2 In 2.21
O 0.3218 0.3218 0.0000  2 In 2.17, 1 Pm 2.24
O 0.6782 0.6782 0.0000  2 In 2.17, 1 Pm 2.24
O 0.7146 0.7146 0.5000  1 W 1.99, 2 In 2.21
O 0.8120 0.1880 0.2910  1 W 1.94
O 0.8120 0.1880 0.7090  1 W 1.94

- E_tot: -6.72 eV per atom